A plane-wave DFT calculation with SCAN was carried out for Hg2OsRu at its PBEsol-relaxed geometry.

Structure (CIF):
```
data_Hg2OsRu
_cell_length_a 2.8738
_cell_length_b 4.8430
_cell_length_c 5.0270
_cell_angle_alpha 99.71
_cell_angle_beta 90.00
_cell_angle_gamma 107.26
_space_group_name_H-M_alt 'P 1'
_space_group_IT_number 1
loop_
_space_group_symop_operation_xyz
'x,y,z'
loop_
_atom_site_label
_atom_site_fract_x
_atom_site_fract_y
_atom_site_fract_z
_atom_site_occupancy
Os1 0.5000 0.0000 0.0000 1
Ru1 0.0000 0.0000 0.5000 1
Hg1 0.2507 0.5014 0.2515 1
Hg2 0.7493 0.4986 0.7485 1
```

Properties
The density of states at the Fermi level is 2.6 states/eV/cell. Its size of the total moment is 1.8 μB per cell. As for the space group: No. 12. The calculation puts the energy above the lowest structure with this stoichiometry at 0.000 eV per formula unit. The formation energy is 3.36 eV per formula unit.

---

A plane-wave DFT calculation with SCAN was carried out for Hg3OsRu at its PBEsol-relaxed geometry.

Structure (CIF):
```
data_Hg3OsRu
_cell_length_a 5.0411
_cell_length_b 5.0411
_cell_length_c 5.0411
_cell_angle_alpha 90.00
_cell_angle_beta 90.00
_cell_angle_gamma 90.00
_space_group_name_H-M_alt 'P 1'
_space_group_IT_number 1
loop_
_space_group_symop_operation_xyz
'x,y,z'
loop_
_atom_site_label
_atom_site_fract_x
_atom_site_fract_y
_atom_site_fract_z
_atom_site_occupancy
Hg1 0.0000 0.5000 0.0000 1
Hg2 0.0000 0.0000 0.5000 1
Hg3 0.5000 0.0000 0.0000 1
Ru1 0.0000 0.0000 0.0000 1
Os1 0.5000 0.5000 0.5000 1
```

Properties
The density of states at the Fermi level is 4.0 states/eV/cell. Its size of the total moment is 5.2 μB per cell. As for the space group: No. 221. The formation energy is 9.24 eV per formula unit.

---

A plane-wave DFT calculation with SCAN was carried out for HgOsRu at its PBEsol-relaxed geometry.

Structure (CIF):
```
data_HgOsRu
_cell_length_a 2.7398
_cell_length_b 4.4429
_cell_length_c 4.4429
_cell_angle_alpha 120.00
_cell_angle_beta 90.00
_cell_angle_gamma 90.00
_space_group_name_H-M_alt 'P 1'
_space_group_IT_number 1
loop_
_space_group_symop_operation_xyz
'x,y,z'
loop_
_atom_site_label
_atom_site_fract_x
_atom_site_fract_y
_atom_site_fract_z
_atom_site_occupancy
Ru1 0.2440 0.6667 0.3333 1
Hg1 0.0321 0.0000 0.0000 1
Os1 0.7240 0.3333 0.6667 1
```

Properties
The density of states at the Fermi level is 2.8 states/eV/cell. Its size of the total moment is 0.0 μB per cell. As for the space group: No. 156. The formation energy is 3.07 eV per formula unit.

---

A plane-wave DFT calculation with SCAN was carried out for HgOs2S at its PBEsol-relaxed geometry.

Structure (CIF):
```
data_HgOs2S
_cell_length_a 4.4014
_cell_length_b 4.4014
_cell_length_c 4.4014
_cell_angle_alpha 60.00
_cell_angle_beta 60.00
_cell_angle_gamma 60.00
_space_group_name_H-M_alt 'P 1'
_space_group_IT_number 1
loop_
_space_group_symop_operation_xyz
'x,y,z'
loop_
_atom_site_label
_atom_site_fract_x
_atom_site_fract_y
_atom_site_fract_z
_atom_site_occupancy
Os1 0.2500 0.2500 0.2500 1
Os2 0.7500 0.7500 0.7500 1
S1 0.0000 0.0000 0.0000 1
Hg1 0.5000 0.5000 0.5000 1
```

Properties
The density of states at the Fermi level is 3.7 states/eV/cell. The raw formation energy comes out at 5.6 eV/f.u. Its size of the total moment is 0.0 μB per cell. As for the space group: No. 225.

---

A plane-wave DFT calculation with SCAN was carried out for Hg3OsS at its PBEsol-relaxed geometry.

Structure (CIF):
```
data_Hg3OsS
_cell_length_a 5.1642
_cell_length_b 5.1642
_cell_length_c 5.1642
_cell_angle_alpha 90.00
_cell_angle_beta 90.00
_cell_angle_gamma 90.00
_space_group_name_H-M_alt 'P 1'
_space_group_IT_number 1
loop_
_space_group_symop_operation_xyz
'x,y,z'
loop_
_atom_site_label
_atom_site_fract_x
_atom_site_fract_y
_atom_site_fract_z
_atom_site_occupancy
Os1 0.0000 0.0000 0.0000 1
Hg1 0.0000 0.5000 0.0000 1
Hg2 0.5000 0.0000 0.0000 1
Hg3 0.0000 0.0000 0.5000 1
S1 0.5000 0.5000 0.5000 1
```

Properties
The density of states at the Fermi level is 3.1 states/eV/cell. The raw formation energy comes out at 5.3 eV/f.u. Its size of the total moment is 3.4 μB per cell. As for the space group: No. 221.

---

A plane-wave DFT calculation with SCAN was carried out for HgSb2Os at its PBEsol-relaxed geometry.

Structure (CIF):
```
data_HgSb2Os
_cell_length_a 3.1535
_cell_length_b 3.1535
_cell_length_c 8.8911
_cell_angle_alpha 90.00
_cell_angle_beta 90.06
_cell_angle_gamma 90.00
_space_group_name_H-M_alt 'P 1'
_space_group_IT_number 1
loop_
_space_group_symop_operation_xyz
'x,y,z'
loop_
_atom_site_label
_atom_site_fract_x
_atom_site_fract_y
_atom_site_fract_z
_atom_site_occupancy
Hg1 0.5000 0.5000 0.0000 1
Sb1 0.0007 0.0000 0.6919 1
Sb2 0.9993 0.0000 0.3081 1
Os1 0.5000 0.5000 0.5000 1
```

Properties
The density of states at the Fermi level is 1.8 states/eV/cell. The raw formation energy comes out at 0.9 eV/f.u. Its size of the total moment is 0.0 μB per cell. As for the space group: No. 10.

---

A plane-wave DFT calculation with SCAN was carried out for HgSb2Os at its PBEsol-relaxed geometry.

Structure (CIF):
```
data_HgSb2Os
_cell_length_a 4.8670
_cell_length_b 4.8670
_cell_length_c 4.8670
_cell_angle_alpha 60.00
_cell_angle_beta 60.00
_cell_angle_gamma 60.00
_space_group_name_H-M_alt 'P 1'
_space_group_IT_number 1
loop_
_space_group_symop_operation_xyz
'x,y,z'
loop_
_atom_site_label
_atom_site_fract_x
_atom_site_fract_y
_atom_site_fract_z
_atom_site_occupancy
Sb1 0.0000 0.0000 0.0000 1
Sb2 0.2500 0.2500 0.2500 1
Os1 0.7500 0.7500 0.7500 1
Hg1 0.5000 0.5000 0.5000 1
```

Properties
The density of states at the Fermi level is 2.9 states/eV/cell. The raw formation energy comes out at 4.1 eV/f.u. Its size of the total moment is 0.0 μB per cell. As for the space group: No. 216.

---

A plane-wave DFT calculation with SCAN was carried out for Sc3HgOs at its PBEsol-relaxed geometry.

Structure (CIF):
```
data_Sc3HgOs
_cell_length_a 4.9590
_cell_length_b 4.9590
_cell_length_c 4.9590
_cell_angle_alpha 90.00
_cell_angle_beta 90.00
_cell_angle_gamma 90.00
_space_group_name_H-M_alt 'P 1'
_space_group_IT_number 1
loop_
_space_group_symop_operation_xyz
'x,y,z'
loop_
_atom_site_label
_atom_site_fract_x
_atom_site_fract_y
_atom_site_fract_z
_atom_site_occupancy
Hg1 0.5000 0.5000 0.5000 1
Os1 0.0000 0.0000 0.0000 1
Sc1 0.5000 0.0000 0.0000 1
Sc2 0.0000 0.5000 0.0000 1
Sc3 0.0000 0.0000 0.5000 1
```

Properties
The density of states at the Fermi level is 3.5 states/eV/cell. Its size of the total moment is 0.0 μB per cell. As for the space group: No. 221. The formation energy is -0.91 eV per formula unit.

---

A plane-wave DFT calculation with SCAN was carried out for Sc2HgOs at its PBEsol-relaxed geometry.

Structure (CIF):
```
data_Sc2HgOs
_cell_length_a 3.6085
_cell_length_b 3.6085
_cell_length_c 5.8720
_cell_angle_alpha 90.00
_cell_angle_beta 90.00
_cell_angle_gamma 90.00
_space_group_name_H-M_alt 'P 1'
_space_group_IT_number 1
loop_
_space_group_symop_operation_xyz
'x,y,z'
loop_
_atom_site_label
_atom_site_fract_x
_atom_site_fract_y
_atom_site_fract_z
_atom_site_occupancy
Hg1 0.0000 0.0000 0.4838 1
Sc1 0.0000 0.0000 0.9520 1
Sc2 0.5000 0.5000 0.2613 1
Os1 0.5000 0.5000 0.8029 1
```

Properties
The density of states at the Fermi level is 1.2 states/eV/cell. Its size of the total moment is 0.0 μB per cell. As for the space group: No. 99. The formation energy is -0.75 eV per formula unit.

---

A plane-wave DFT calculation with SCAN was carried out for ScHgOs at its PBEsol-relaxed geometry.

Structure (CIF):
```
data_ScHgOs
_cell_length_a 4.4615
_cell_length_b 4.4615
_cell_length_c 4.4615
_cell_angle_alpha 60.00
_cell_angle_beta 60.00
_cell_angle_gamma 60.00
_space_group_name_H-M_alt 'P 1'
_space_group_IT_number 1
loop_
_space_group_symop_operation_xyz
'x,y,z'
loop_
_atom_site_label
_atom_site_fract_x
_atom_site_fract_y
_atom_site_fract_z
_atom_site_occupancy
Sc1 0.0000 0.0000 0.0000 1
Os1 0.2500 0.2500 0.2500 1
Hg1 0.5000 0.5000 0.5000 1
```

Properties
The density of states at the Fermi level is 5.7 states/eV/cell. Its size of the total moment is 0.0 μB per cell. As for the space group: No. 216. The formation energy is 1.03 eV per formula unit.